Sr2CoPdN: relaxed, PBE-GGA.

```
Sr2CoPdN
1.0
5.4225 0.0000 0.0000
0.0000 5.4225 0.0000
0.0000 0.0000 3.5248
Sr Pd N Co
2 1 1 1
Cartesian
2.7112 0.0000 0.0000
0.0000 2.7112 0.0000
2.7112 2.7112 1.7624
0.0000 0.0000 0.0000
0.0000 0.0000 1.7624
```

## Properties
- Formation energy (no corrections): -0.498 eV per atom
- Final energy: -5.30 eV per atom
- Magnetic moment: 0.03 Bohr magnetons per cell